# 1
A plane-wave DFT calculation with GGA-PBE was carried out for a relaxed structure of LuTlCu.

- Crystal system: cubic
- Total energy: -11.081 eV/cell

abc: 4.5720 4.5720 4.5720
angles: 60.00 60.00 60.00
Fractional coordinates of all 3 atoms:
Lu 0.0000 0.0000 0.0000
Tl 0.5000 0.5000 0.5000
Cu 0.2500 0.2500 0.2500

# 2
A plane-wave DFT calculation with GGA-PBE was carried out for a relaxed structure of LuZrTlCu.

- Energy relative to the lowest polymorph listed for this composition: 0 meV per atom
- Crystal system: cubic

abc: 4.9776 4.9776 4.9776
angles: 60.00 60.00 60.00
Fractional coordinates of all 4 atoms:
Lu 0.0000 0.0000 0.0000
Zr 0.2500 0.2500 0.2500
Tl 0.5000 0.5000 0.5000
Cu 0.7500 0.7500 0.7500